First-principles (meta-GGA SCAN) data for KVMoO6 at its PBEsol-relaxed geometry, as listed in the Alexandria database.

The calculation puts the total moment at 0.0 μB/cell. The calculation puts the raw total energy at -13.25 eV/atom. As for the density of states at the Fermi level: 0.00 states/eV/cell. The value obtained for the uncorrected formation energy is -2.348 eV/atom.

The space group is Pnma (No. 62) and the conventional cell measures 10.4054, 3.6829 and 13.3499 Å, with angles of 90.00, 90.00 and 90.00 degrees. Symmetry generates all atoms from K at (0.1107, 0.2500, 0.1404), V at (0.0159, 0.2500, 0.6066), Mo at (0.2370, 0.2500, 0.4254), O at (0.0088, 0.7500, 0.2737), O at (0.0254, 0.2500, 0.4270), O at (0.1113, 0.7500, 0.9764), O at (0.1754, 0.2500, 0.5897), O at (0.1855, 0.7500, 0.4386) and O at (0.2367, 0.7500, 0.7999).